(1)
DFT (PBE) results for a relaxed structure of Na3CdOs.

Unit cell a=5.6424 b=5.6424 c=5.6424 alpha=90.00 beta=90.00 gamma=90.00
Last column: nearest neighbours and their distance in Å.
Space group Pm-3m (No. 221)
Inequivalent atoms, fractional coordinates:
Na  0.0000  0.0000  0.5000 x3  2 Os 2.82
Cd  0.5000  0.5000  0.5000 x1  12 Na 3.99
Os  0.0000  0.0000  0.0000 x1  6 Na 2.82

Results
Its total magnetization is 1.432 μB/cell. Its energy of formation from the pure elements is 1.201 eV/atom. As for the crystal system: cubic.

=====

(2)
DFT (PBE) results for a relaxed structure of Cs2KBr3.

Unit cell a=5.0283 b=7.1979 c=15.2321 alpha=90.00 beta=90.00 gamma=90.00
Last column: nearest neighbours and their distance in Å.
Space group Immm (No. 71)
Inequivalent atoms, fractional coordinates:
Cs  0.0000  0.0000  0.1695 x4  6 Br 3.60-3.71
K  0.0000  0.0000  0.5000 x2  6 Br 3.41-3.60
Br  0.0000  0.5000  0.1513 x4  2 K 3.41, 4 Cs 3.61-3.71
Br  0.0000  0.5000  0.5000 x2  2 K 3.60, 4 Cs 3.60

Results
Its total magnetization is 0.002 μB/cell. For the uncorrected formation energy, the calculation gives -1.76 eV/atom. As for the crystal system: orthorhombic.

=====

(3)
DFT (PBE) results for a relaxed structure of BaGa3Os.

Unit cell a=5.7795 b=5.7795 c=5.7795 alpha=90.00 beta=90.00 gamma=90.00
Last column: nearest neighbours and their distance in Å.
Space group Pm-3m (No. 221)
Inequivalent atoms, fractional coordinates:
Ba  0.0000  0.0000  0.0000 x1  6 Ga 2.89
Ga  0.0000  0.0000  0.5000 x3  2 Ba 2.89
Os  0.5000  0.5000  0.5000 x1  12 Ga 4.09

Results
Its total magnetization is 2.005 μB/cell. The energy above the most stable polymorph in this dataset comes out at 2565.3 meV per atom. Its energy of formation from the pure elements is 2.167 eV/atom. As for the crystal system: cubic.

=====

(4)
DFT (PBE) results for a relaxed structure of Mg2Sn.

Unit cell a=8.3523 b=8.3523 c=3.5346 alpha=90.00 beta=90.00 gamma=120.00
Last column: nearest neighbours and their distance in Å.
Space group P-62m (No. 189)
Inequivalent atoms, fractional coordinates:
Mg  0.0000  0.2936  0.0000 x3  4 Sn 2.96-3.02, 2 Mg 3.27
Mg  0.0000  0.6225  0.5000 x3  5 Sn 3.15-3.16, 6 Mg 3.27-3.37
Sn  0.0000  0.0000  0.5000 x1  9 Mg 3.02-3.15
Sn  0.3333  0.6667  0.0000 x2  9 Mg 2.96-3.16

Results
Its total magnetization is 0.000 μB/cell. Its energy of formation from the pure elements is -0.122 eV/atom. As for the crystal system: hexagonal.

=====

(5)
DFT (PBE) results for a relaxed structure of CaMnNi2.

Unit cell a=3.8123 b=3.8123 c=8.6300 alpha=90.00 beta=90.00 gamma=90.00
Last column: nearest neighbours and their distance in Å.
Space group I-4m2 (No. 119)
Inequivalent atoms, fractional coordinates:
Ca  0.0000  0.0000  0.0000 x2  8 Ni 2.70-2.88, 4 Mn 2.88
Mn  0.0000  0.5000  0.7500 x2  8 Ni 2.70-2.88, 4 Ca 2.88
Ni  0.0000  0.0000  0.5000 x2  4 Ca 2.70, 4 Mn 2.88, 4 Ni 2.88
Ni  0.0000  0.5000  0.2500 x2  4 Mn 2.70, 4 Ni 2.88, 4 Ca 2.88

Results
Its total magnetization is 9.195 μB/cell. The energy above the most stable polymorph in this dataset comes out at 272.0 meV per atom. Its energy of formation from the pure elements is 0.250 eV/atom. As for the crystal system: tetragonal.

=====

(6)
DFT (PBE) results for a relaxed structure of Ho6Co2Rh.

Unit cell a=9.2390 b=9.3826 c=9.5069 alpha=90.00 beta=90.00 gamma=90.00
Last column: nearest neighbours and their distance in Å.
Space group Immm (No. 71)
Inequivalent atoms, fractional coordinates:
Ho  0.0000  0.1852  0.1738 x8  3 Co 2.66-2.84
Ho  0.1777  0.2345  0.5000 x8  3 Co 2.88-2.95, 1 Rh 2.98
Ho  0.1868  0.5000  0.2460 x8  1 Co 2.78, 2 Rh 2.91-2.97
Co  0.0000  0.0000  0.3853 x4  1 Co 2.18
Co  0.1649  0.0000  0.0000 x4  8 Ho 2.78-2.88, 1 Co 3.05, 1 Rh 3.10
Rh  0.0000  0.5000  0.0000 x2  4 Ho 2.91
Rh  0.0000  0.5000  0.5000 x2  8 Ho 2.97-2.98, 2 Co 3.10

Results
Its total magnetization is 0.000 μB/cell. The energy above the most stable polymorph in this dataset comes out at 0.0 meV per atom. Its energy of formation from the pure elements is -0.345 eV/atom. As for the crystal system: orthorhombic.

=====

(7)
DFT (PBE) results for a relaxed structure of CdInH.

Unit cell a=3.3243 b=5.3958 c=15.2544 alpha=90.00 beta=93.14 gamma=90.00
Last column: nearest neighbours and their distance in Å.
Space group C2/m (No. 12)
Inequivalent atoms, fractional coordinates:
Cd  0.2283  0.0000  0.4153 x4  8 Cd 3.07-3.32, 2 In 3.17-3.19
In  0.1768  0.5000  0.2371 x4  6 In 3.17-3.32, 2 Cd 3.17-3.19, 1 H 3.47
H  0.0636  0.0000  0.9804 x4  1 H 0.75

Results
Its total magnetization is 0.000 μB/cell. The energy above the most stable polymorph in this dataset comes out at 0.0 meV per atom. As for the crystal system: monoclinic.

=====

(8)
DFT (PBE) results for a relaxed structure of Ca2YAu.

Unit cell a=3.7482 b=5.3641 c=12.0023 alpha=90.00 beta=90.00 gamma=90.00
Last column: nearest neighbours and their distance in Å.
Space group Immm (No. 71)
Inequivalent atoms, fractional coordinates:
Ca  0.0000  0.0000  0.1958 x4  2 Au 3.01
Y  0.0000  0.5000  0.0000 x2  4 Au 3.27, 4 Ca 3.57
Au  0.0000  0.5000  0.5000 x2  4 Ca 3.01, 4 Y 3.27

Results
Its total magnetization is 0.000 μB/cell. The energy above the most stable polymorph in this dataset comes out at 80.8 meV per atom. Its energy of formation from the pure elements is -0.324 eV/atom. As for the crystal system: orthorhombic.